Density functional theory data (PBE) for crystalline Ho8ErIn6 at its relaxed geometry.

Summary:
The energy relative to the elements comes out at -0.20 eV/atom. For the size of the total moment, the calculation gives 0.001 μB/cell. The raw total energy is -4.0452 eV/atom.

abc: 8.9858 8.9858 19.3922
angles: 90.00 90.00 120.00
Last column: nearest neighbours and their distance in Å.
Space group R-3 (No. 148, hexagonal axes)
Symmetry-distinct sites (fractional):
Ho  0.0000  0.0000  0.1667 x6  6 In 3.21
Ho  0.0001  0.3331  0.6128 x18  5 In 3.12-3.34
Er  0.0000  0.0000  0.5000 x3  6 In 3.21
In  0.0000  0.3328  0.4405 x18  7 Ho 3.12-3.34, 1 Er 3.21

---

Density functional theory data (PBE) for crystalline TlGaPtSe at its relaxed geometry.

Summary:
For the size of the total moment, the calculation gives 0.000 μB/cell. The uncorrected formation energy is -91 kJ/mol of formula units. The calculation puts the energy above the most stable polymorph in this dataset at 79 meV per atom. The raw total energy is -3.9645 eV/atom.

abc: 8.4956 4.3560 5.4189
angles: 90.00 91.92 90.00
Last column: nearest neighbours and their distance in Å.
Space group Cm (No. 8)
Symmetry-distinct sites (fractional):
Tl  0.0000  0.0000  0.0000 x2  3 Pt 2.83-3.04, 2 Se 3.01
Ga  0.3189  0.0000  0.3511 x2  1 Se 2.45, 2 Pt 2.45
Pt  0.2066  0.5000  0.2325 x2  2 Ga 2.45, 1 Se 2.55
Se  0.0531  0.5000  0.6287 x2  1 Ga 2.45, 1 Pt 2.55

---

Density functional theory data (PBE) for crystalline Li2NiRh2 at its relaxed geometry.

Summary:
The energy relative to the elements comes out at 0.43 eV/atom. For the size of the total moment, the calculation gives 3.190 μB/cell. The calculation puts the energy above the most stable polymorph in this dataset at 276 meV per atom. The raw total energy is -4.4330 eV/atom.

abc: 3.8603 3.8603 8.7276
angles: 90.00 90.00 90.00
Last column: nearest neighbours and their distance in Å.
Space group I4/mmm (No. 139)
Symmetry-distinct sites (fractional):
Li  0.0000  0.0000  0.1011 x4  1 Li 1.76
Ni  0.0000  0.0000  0.5000 x2  8 Li 2.87, 8 Rh 2.91
Rh  0.0000  0.5000  0.2500 x4  4 Li 2.33

---

Density functional theory data (PBE) for crystalline BeCo4Si at its relaxed geometry.

Summary:
For the size of the total moment, the calculation gives 18.796 μB/cell. The uncorrected formation energy is 129 kJ/mol of formula units. The raw total energy is -6.0389 eV/atom.

abc: 6.4760 6.4760 6.4760
angles: 90.00 90.00 90.00
Last column: nearest neighbours and their distance in Å.
Space group F-43m (No. 216)
Symmetry-distinct sites (fractional):
Be  0.0000  0.0000  0.0000 x4  12 Co 2.68, 4 Si 2.80
Co  0.1251  0.1251  0.6251 x16  6 Co 2.29
Si  0.2500  0.2500  0.2500 x4  12 Co 2.68, 4 Be 2.80

---

Density functional theory data (PBE) for crystalline KMn2PbCl8 at its relaxed geometry.

Summary:
For the size of the total moment, the calculation gives 9.000 μB/cell. The uncorrected formation energy is -1346 kJ/mol of formula units. The raw total energy is -4.3227 eV/atom.

abc: 6.7653 6.7653 9.6094
angles: 90.00 90.00 120.00
Last column: nearest neighbours and their distance in Å.
Space group P-3 (No. 147)
Symmetry-distinct sites (fractional):
K  0.0000  0.0000  0.0000 x1  12 Cl 3.69-3.91
Mn  0.3333  0.6667  0.7575 x2  4 Cl 2.22-2.31
Pb  0.0000  0.0000  0.5000 x1  6 Cl 2.89
Cl  0.0104  0.3324  0.6924 x6  1 Mn 2.31
Cl  0.3333  0.6667  0.9883 x2  1 Mn 2.22

---

Density functional theory data (PBE) for crystalline Dy3Mg2 at its relaxed geometry.

Summary:
The energy relative to the elements comes out at -0.05 eV/atom. For the size of the total moment, the calculation gives 0.000 μB/cell. The calculation puts the energy above the most stable polymorph in this dataset at 0 meV per atom. The raw total energy is -3.4477 eV/atom.

abc: 3.7214 3.7214 20.2801
angles: 90.00 90.00 90.00
Last column: nearest neighbours and their distance in Å.
Space group P4/mmm (No. 123)
Symmetry-distinct sites (fractional):
Dy  0.0000  0.0000  0.0000 x1  8 Mg 3.27
Dy  0.0000  0.0000  0.1900 x2  8 Mg 3.26-3.27
Dy  0.0000  0.0000  0.3825 x2  4 Mg 3.29, 4 Dy 3.55
Dy  0.5000  0.5000  0.5000 x1  12 Dy 3.55-3.72
Mg  0.5000  0.5000  0.0954 x2  8 Dy 3.26-3.27
Mg  0.5000  0.5000  0.2853 x2  8 Dy 3.27-3.29

---

Density functional theory data (PBE) for crystalline Ho6AlS5 at its relaxed geometry.

Summary:
For the size of the total moment, the calculation gives 0.000 μB/cell. The uncorrected formation energy is -1935 kJ/mol of formula units. The raw total energy is -5.9915 eV/atom.

abc: 6.8659 11.8234 6.8304
angles: 90.00 109.35 90.00
Last column: nearest neighbours and their distance in Å.
Space group C2/m (No. 12)
Symmetry-distinct sites (fractional):
Ho  0.2465  0.0000  0.2509 x4  5 S 2.77-2.80, 1 Al 2.82
Ho  0.2476  0.1687  0.7480 x8  5 S 2.76-2.80, 1 Al 2.82
Al  0.0000  0.5000  0.0000 x2  6 Ho 2.82
S  0.0000  0.0000  0.5000 x2  6 Ho 2.77-2.80
S  0.0000  0.1666  0.0000 x4  6 Ho 2.79
S  0.0000  0.3333  0.5000 x4  6 Ho 2.76-2.80

---

Density functional theory data (PBE) for crystalline RbPm3F10 at its relaxed geometry.

Summary:
For the size of the total moment, the calculation gives 1.699 μB/cell. The uncorrected formation energy is -5345 kJ/mol of formula units. The raw total energy is -6.3808 eV/atom.

abc: 12.0738 12.0738 12.0738
angles: 90.00 90.00 90.00
Last column: nearest neighbours and their distance in Å.
Space group Fm-3m (No. 225)
Symmetry-distinct sites (fractional):
Rb  0.2500  0.2500  0.2500 x8  4 F 2.91
Pm  0.0000  0.0000  0.2400 x24  8 F 2.30-2.45
F  0.0000  0.1647  0.3353 x48  2 Pm 2.30
F  0.1108  0.1108  0.1108 x32  3 Pm 2.45, 3 F 2.67

---

Density functional theory data (PBE) for crystalline CaBe2Cd at its relaxed geometry.

Summary:
The energy relative to the elements comes out at 0.31 eV/atom. For the size of the total moment, the calculation gives 0.000 μB/cell. The raw total energy is -2.2814 eV/atom.

abc: 4.0345 4.9836 7.4646
angles: 90.00 90.00 90.00
Last column: nearest neighbours and their distance in Å.
Space group Imm2 (No. 44)
Symmetry-distinct sites (fractional):
Ca  0.0000  0.0000  0.0000 x2  5 Be 2.83-3.12, 4 Cd 2.88-3.04
Be  0.0000  0.0000  0.5999 x2  2 Be 2.11
Be  0.0000  0.5000  0.1805 x2  2 Be 2.11
Cd  0.0000  0.5000  0.8053 x2  5 Be 2.80-2.98, 4 Ca 2.88-3.04

---

Density functional theory data (PBE) for crystalline NdMg2 at its relaxed geometry.

Summary:
The energy relative to the elements comes out at -0.11 eV/atom. For the size of the total moment, the calculation gives 0.000 μB/cell. The raw total energy is -2.7595 eV/atom.

abc: 8.6809 8.6809 8.6809
angles: 90.00 90.00 90.00
Last column: nearest neighbours and their distance in Å.
Space group Fd-3m (No. 227, origin choice 2)
Symmetry-distinct sites (fractional):
Nd  0.1250  0.1250  0.1250 x8  12 Mg 3.60, 4 Nd 3.76
Mg  0.0000  0.0000  0.5000 x16  6 Mg 3.07

---

Density functional theory data (PBE) for crystalline CaMn2Sb2 at its relaxed geometry.

Summary:
For the size of the total moment, the calculation gives 8.628 μB/cell. The uncorrected formation energy is -83 kJ/mol of formula units. The raw total energy is -5.8887 eV/atom.

abc: 4.4447 4.4447 7.6483
angles: 90.00 90.00 120.00
Last column: nearest neighbours and their distance in Å.
Space group P-3m1 (No. 164)
Symmetry-distinct sites (fractional):
Ca  0.0000  0.0000  0.0000 x1  6 Sb 3.23
Mn  0.3333  0.6667  0.3824 x2  4 Sb 2.74-2.77
Sb  0.3333  0.6667  0.7440 x2  4 Mn 2.74-2.77

---

Density functional theory data (PBE) for crystalline Tb4YTl at its relaxed geometry.

Summary:
The energy relative to the elements comes out at -0.10 eV/atom. For the size of the total moment, the calculation gives 0.000 μB/cell. The calculation puts the energy above the most stable polymorph in this dataset at 0 meV per atom. The raw total energy is -4.6634 eV/atom.

abc: 3.5978 3.5978 14.3184
angles: 90.00 90.00 90.00
Last column: nearest neighbours and their distance in Å.
Space group P4/mmm (No. 123)
Symmetry-distinct sites (fractional):
Tb  0.0000  0.0000  0.1490 x2  4 Tl 3.32, 8 Tb 3.57-3.60
Tb  0.5000  0.5000  0.3236 x2  8 Tb 3.57-3.60, 4 Y 3.58
Y  0.0000  0.0000  0.5000 x1  8 Tb 3.58, 4 Y 3.60
Tl  0.5000  0.5000  0.0000 x1  8 Tb 3.32, 4 Tl 3.60